Entry 1:
First-principles (PBE-GGA) data for a relaxed structure of Ba6Zn2AuN, as listed in the Alexandria database.

Cell: 7.9539 8.5543 11.5597 Å, 90.00 88.42 90.00°
With the nearest neighbours (Å) after each atom.
Fractional positions:
Au (0.0000, 0.5000, 0.5000)  6 Ba 3.30-3.32
Au (0.5000, 0.0000, 0.0000)  6 Ba 3.30-3.32
Ba (0.7077, 0.3297, 0.9435)  1 N 2.84
Ba (0.8411, 0.7891, 0.9477)  1 N 2.85
Ba (0.2923, 0.6703, 0.0565)  1 N 2.84
Ba (0.6589, 0.2891, 0.5523)  1 N 2.85
Ba (0.7923, 0.8297, 0.5565)  1 N 2.84
Ba (0.3411, 0.7109, 0.4477)  1 N 2.85
Ba (0.6129, 0.0265, 0.2716)  1 N 2.77
Ba (0.1129, 0.4735, 0.7716)  1 N 2.77
Ba (0.3871, 0.9735, 0.7284)  1 N 2.77
Ba (0.2077, 0.1703, 0.4435)  1 N 2.84
Ba (0.8871, 0.5265, 0.2284)  1 N 2.77
Ba (0.1589, 0.2109, 0.0523)  1 N 2.85
N (0.0000, 0.5000, 0.0000)  6 Ba 2.77-2.85
N (0.5000, 0.0000, 0.5000)  6 Ba 2.77-2.85
Zn (0.9606, 0.0944, 0.7494)  6 Ba 3.47-3.75
Zn (0.5394, 0.5944, 0.7506)  6 Ba 3.47-3.75
Zn (0.4606, 0.4056, 0.2494)  6 Ba 3.47-3.75
Zn (0.0394, 0.9056, 0.2506)  6 Ba 3.47-3.75

Computed properties:
Magnetic moment in μB/f.u.: 0.00
E in eV/f.u.: -28.6
Crystal system: monoclinic
DOS(E_F) in states/eV/atom: 0.7428
Raw formation energy in meV/atom: -291.6


Entry 2:
First-principles (PBE-GGA) data for a relaxed structure of Ta2CdAs, as listed in the Alexandria database.

Cell: 5.3309 5.3309 4.6986 Å, 75.94 75.94 34.83°
With the nearest neighbours (Å) after each atom.
Fractional positions:
As (0.5065, 0.5065, 0.5717)  6 Ta 2.67-2.96, 2 Cd 2.95
Ta (0.7886, 0.7886, 0.6678)  2 As 2.67, 4 Cd 2.90, 1 Ta 2.97
Ta (0.9758, 0.9758, 0.0608)  4 As 2.75-2.96, 3 Cd 2.82-2.90, 2 Ta 2.97-3.00
Cd (0.2291, 0.2291, 0.1998)  7 Ta 2.82-2.90, 2 As 2.95

Computed properties:
Magnetic moment in μB/f.u.: 0.00
E in eV/f.u.: -28.3
ΔE to the lowest computed polymorph in meV per atom: 199
Crystal system: monoclinic
DOS(E_F) in states/eV/atom: 0.4767
Calculated formation energy in meV/atom: 231